1.
# Mg2SbH (PBE, optimized geometry)
# * excess energy over the best structure of this formula in the dataset: 154 meV/atom
data_Mg2SbH
_chemical_formula_sum 'Mg4 Sb2 H2'
_cell_length_a 4.1139
_cell_length_b 4.5018
_cell_length_c 9.2901
_cell_angle_alpha 89.96
_cell_angle_beta 89.91
_cell_angle_gamma 89.97
_space_group_name_H-M_alt 'P 1'
_space_group_IT_number 1
loop_
_space_group_symop_operation_xyz
'x,y,z'
loop_
_atom_site_label
_atom_site_type_symbol
_atom_site_fract_x
_atom_site_fract_y
_atom_site_fract_z
Mg1 Mg 0.0000 0.0000 0.0000
Mg2 Mg 0.0010 0.0115 0.6044
Mg3 Mg 0.5003 0.4999 0.0260
Mg4 Mg 0.5025 0.5108 0.4218
Sb1 Sb 0.0012 0.4999 0.8121
Sb2 Sb 0.4991 0.9994 0.2138
H1 H 0.9999 0.3903 0.4684
H2 H 0.5011 0.8913 0.5575


2.
# Mg3Sb2H (PBE, optimized geometry)
# * excess energy over the best structure of this formula in the dataset: 51 meV/atom
data_Mg3Sb2H
_chemical_formula_sum 'Mg6 Sb4 H2'
_cell_length_a 8.0043
_cell_length_b 8.0043
_cell_length_c 7.3372
_cell_angle_alpha 103.27
_cell_angle_beta 103.27
_cell_angle_gamma 34.86
_space_group_name_H-M_alt 'P 1'
_space_group_IT_number 1
loop_
_space_group_symop_operation_xyz
'x,y,z'
loop_
_atom_site_label
_atom_site_type_symbol
_atom_site_fract_x
_atom_site_fract_y
_atom_site_fract_z
Mg1 Mg 0.0483 0.9517 0.7500
Mg2 Mg 0.3486 0.3631 0.1770
Mg3 Mg 0.3631 0.3486 0.6770
Mg4 Mg 0.6369 0.6514 0.3230
Mg5 Mg 0.6514 0.6369 0.8230
Mg6 Mg 0.9517 0.0483 0.2500
Sb1 Sb 0.1531 0.1539 0.5771
Sb2 Sb 0.1539 0.1531 0.0771
Sb3 Sb 0.8461 0.8469 0.9229
Sb4 Sb 0.8469 0.8461 0.4229
H1 H 0.4727 0.5273 0.7500
H2 H 0.5273 0.4727 0.2500


- Which formula does entry 2 have?
  Mg3Sb2H